Below is a relaxed structure of Fe2MoS, with properties calculated at the PBE level.

Lattice parameters (Å, degrees): 5.1410 5.1410 6.1721 65.39 65.39 90.00
Element x y z (fractional)
Fe  0.3750  0.4108  0.7500
Fe  0.1608  0.6250  0.2500
S  0.5000  0.5000  0.0000
Fe  0.5892  0.1250  0.2500
S  0.2500  0.7500  0.5000
Mo  0.0000  0.0000  0.0000
Mo  0.7500  0.2500  0.5000
Fe  0.8750  0.8392  0.7500

## Properties
Formation energy from raw total energies: 0.51 eV per atom


Below is a relaxed structure of Zr4PaP5, with properties calculated at the PBE level.

Lattice parameters (Å, degrees): 3.8004 6.5661 8.4747 75.14 77.04 73.18
Element x y z (fractional)
P  0.0000  0.5000  0.5000
Zr  0.4003  0.7938  0.4055
P  0.7992  0.0951  0.3065
P  0.6055  0.6865  0.1025
P  0.2008  0.9049  0.6935
Zr  0.8045  0.6020  0.7891
P  0.3945  0.3135  0.8975
Zr  0.5997  0.2062  0.5945
Zr  0.1955  0.3980  0.2109
Pa  0.0000  0.0000  0.0000

## Properties
Formation energy: -1.3488 eV/atom


Below is a relaxed structure of Rb2HfSnAu, with properties calculated at the PBE level.

Lattice parameters (Å, degrees): 6.8893 5.1031 6.8893 90.00 90.00 90.00
Each line ends with the local moment (μB).
Element x y z (fractional)
Hf  0.0000  0.0000  0.0000  0.84
Au  0.0000  0.5000  0.0000  0.02
Rb  0.0000  0.0000  0.5000  0.02
Rb  0.5000  0.0000  0.0000  0.01
Sn  0.5000  0.5000  0.5000  -0.32

## Properties
Formation energy: 0.9586 eV/atom


Below is a relaxed structure of Cu2IrAu2, with properties calculated at the PBE level.

Lattice parameters (Å, degrees): 6.8322 6.8322 3.2556 90.00 90.00 90.00
Element x y z (fractional)
Au  0.8251  0.3251  0.5000
Ir  0.5000  0.5000  0.0000
Cu  0.6258  0.1258  0.0000
Cu  0.8742  0.6258  0.0000
Au  0.3251  0.1749  0.5000
Au  0.1749  0.6749  0.5000
Ir  0.0000  0.0000  0.0000
Cu  0.3742  0.8742  0.0000
Cu  0.1258  0.3742  0.0000
Au  0.6749  0.8251  0.5000

## Properties
Offset from the most stable computed form: 0 meV/atom
Formation energy: 0.3100 eV/atom


Copy entry 1 word for word.
Below is a relaxed structure of Fe2MoS, with properties calculated at the PBE level.

Lattice parameters (Å, degrees): 5.1410 5.1410 6.1721 65.39 65.39 90.00
Element x y z (fractional)
Fe  0.3750  0.4108  0.7500
Fe  0.1608  0.6250  0.2500
S  0.5000  0.5000  0.0000
Fe  0.5892  0.1250  0.2500
S  0.2500  0.7500  0.5000
Mo  0.0000  0.0000  0.0000
Mo  0.7500  0.2500  0.5000
Fe  0.8750  0.8392  0.7500

## Properties
Formation energy from raw total energies: 0.51 eV per atom